The following is a PBE calculation of crystalline MnTeAu2 at its relaxed geometry, from the Alexandria database.

Calculated values
ΔE_f (raw) = 0.13 eV per atom
D(E_F) = 2.19 states/eV per cell

Unit cell a=5.9340 b=4.0134 c=4.0135 alpha=90.54 beta=70.04 gamma=109.96
With the nearest neighbours (Å) after each atom.
Fractional positions:
Au: 0.0000 0.5000 0.5000  4 Au 2.82-2.85, 2 Te 2.96, 2 Mn 2.96
Mn: 0.5000 0.5000 0.0000  4 Te 2.82-2.85, 4 Au 2.96
Te: 0.5000 0.0000 0.5000  4 Mn 2.82-2.85, 4 Au 2.96
Au: 0.0000 0.0000 0.0000  4 Au 2.82-2.85, 2 Mn 2.96, 2 Te 2.96